[1]
A geometry-optimized PuSiMo structure, computed with GGA-PBE.

a b c (Å): 3.646 4.304 4.304
angles (deg): 120.00 90.00 90.00
Fractional coordinates of all 3 atoms:
Mo  0.167  0.333  0.667
Si  0.167  0.000  0.000
Pu  0.667  0.667  0.333

Properties
As for the uncorrected formation energy: -0.057 eV/atom. The space group is No. 187.


[2]
A geometry-optimized Rh2Pb2O7 structure, computed with GGA-PBE.

a b c (Å): 7.301 7.301 7.301
angles (deg): 60.00 60.00 60.00
Fractional coordinates of all 22 atoms:
Pb  0.125  0.625  0.625
Pb  0.625  0.625  0.625
Pb  0.625  0.625  0.125
Pb  0.625  0.125  0.625
O  0.207  0.793  0.207
O  0.043  0.457  0.043
O  0.207  0.207  0.793
O  0.457  0.457  0.043
O  0.500  0.500  0.500
O  0.043  0.457  0.457
O  0.793  0.207  0.793
O  0.793  0.793  0.207
O  0.207  0.793  0.793
O  0.457  0.043  0.457
O  0.793  0.207  0.207
O  0.043  0.043  0.457
O  0.457  0.043  0.043
O  0.750  0.750  0.750
Rh  0.125  0.625  0.125
Rh  0.625  0.125  0.125
Rh  0.125  0.125  0.125
Rh  0.125  0.125  0.625

Properties
As for the uncorrected formation energy: -0.957 eV/atom. The space group is No. 227.


[3]
A geometry-optimized Tb6Nd3YHo2 structure, computed with GGA-PBE.

a b c (Å): 6.216 6.216 11.881
angles (deg): 94.99 94.99 119.98
Fractional coordinates of all 12 atoms:
Tb  0.917  0.583  0.754
Tb  0.417  0.083  0.246
Tb  0.583  0.917  0.754
Tb  0.749  0.749  0.246
Tb  0.083  0.417  0.246
Tb  0.251  0.251  0.754
Nd  0.167  0.833  0.500
Nd  0.833  0.167  0.500
Nd  0.500  0.500  0.500
Ho  0.333  0.667  0.000
Ho  0.667  0.333  0.000
Y  0.000  0.000  0.000

Properties
The value obtained for the formation energy is 0.02 eV per atom. The space group is No. 12.